Entry 1:
Here is CuPtSCl2 after structural relaxation from Alexandria. Energies are from PBEsol.

- Uncorrected formation energy: 0.67 eV per atom
- DFT total energy: -3.269 eV/atom
- Calculated density: 6558 kg/m3
- Spin magnetization: 0.7 μB per cell
- SG: P4/mmm (123)

a = 4.3443 Å, b = 4.3443 Å, c = 4.8513 Å
α = 90.00°, β = 90.00°, γ = 90.00°
Positions (direct):
Cu  0.0000  0.0000  0.0000
Pt  0.5000  0.5000  0.5000
S  0.0000  0.0000  0.5000
Cl  0.0000  0.5000  0.0000
Cl  0.5000  0.0000  0.0000

=====

Entry 2:
Here is HoIO after structural relaxation from Alexandria. Energies are from PBEsol.

- Uncorrected formation energy: -2.72 eV per atom
- DFT total energy: -6.705 eV/atom
- Calculated density: 7468 kg/m3
- Spin magnetization: 0.0 μB per cell
- SG: R-3m (166)

a = 10.9109 Å, b = 10.9109 Å, c = 10.9109 Å
α = 20.31°, β = 20.31°, γ = 20.31°
Positions (direct):
Ho  0.1236  0.1236  0.1236
Ho  0.8764  0.8764  0.8764
I  0.3898  0.3898  0.3898
I  0.6102  0.6102  0.6102
O  0.1931  0.1931  0.1931
O  0.8069  0.8069  0.8069

=====

Entry 3:
Here is InTe2Pt after structural relaxation from Alexandria. Energies are from PBEsol.

- Uncorrected formation energy: 0.21 eV per atom
- DFT total energy: -4.039 eV/atom
- Calculated density: 10292 kg/m3
- Spin magnetization: 0.0 μB per cell
- SG: Pmmm (47)

a = 3.6711 Å, b = 4.6464 Å, c = 5.3452 Å
α = 90.00°, β = 90.00°, γ = 90.00°
Positions (direct):
In  0.0000  0.0000  0.0000
Te  0.0000  0.5000  0.5000
Te  0.5000  0.5000  0.0000
Pt  0.5000  0.0000  0.5000

=====

Entry 4:
Here is Tl2TcOs after structural relaxation from Alexandria. Energies are from PBEsol.

- ΔE_f: 1.02 eV/atom
- DFT total energy: -6.162 eV/atom
- Calculated density: 16129 kg/m3
- Spin magnetization: 0.0 μB per cell
- SG: C2/m (12)

a = 5.9557 Å, b = 9.1810 Å, c = 2.9858 Å
α = 90.00°, β = 118.47°, γ = 90.00°
Positions (direct):
Tl  0.2500  0.2500  0.0000
Tl  0.2500  0.7500  0.0000
Tl  0.7500  0.2500  0.0000
Tl  0.7500  0.7500  0.0000
Tc  0.0000  0.0000  0.5000
Tc  0.5000  0.5000  0.5000
Os  0.0000  0.5000  0.5000
Os  0.5000  0.0000  0.5000

=====

Entry 5:
Here is K2H2SeI2O10 after structural relaxation from Alexandria. Energies are from PBEsol.

- DFT total energy: -4.965 eV/atom
- Calculated density: 3700 kg/m3
- Spin magnetization: 0.0 μB per cell
- SG: C2/c (15)

a = 10.3762 Å, b = 10.3762 Å, c = 14.3267 Å
α = 131.14°, β = 131.14°, γ = 26.92°
Positions (direct):
K  0.1418  0.6597  0.8485
K  0.3403  0.8582  0.6515
K  0.6597  0.1418  0.3485
K  0.8582  0.3403  0.1515
H  0.0406  0.4908  0.8899
H  0.4908  0.0406  0.3899
H  0.5092  0.9594  0.6101
H  0.9594  0.5092  0.1101
Se  0.3178  0.6822  0.2500
Se  0.6822  0.3178  0.7500
I  0.0199  0.6590  0.5008
I  0.3410  0.9801  0.9992
I  0.6590  0.0199  0.0008
I  0.9801  0.3410  0.4992
O  0.1103  0.8600  0.1410
O  0.1378  0.3122  0.1356
O  0.1400  0.8897  0.3590
O  0.1804  0.3135  0.4117
O  0.2136  0.5953  0.4663
O  0.3122  0.1378  0.6356
O  0.3135  0.1804  0.9117
O  0.3939  0.4241  0.6815
O  0.4047  0.7864  0.0337
O  0.4241  0.3939  0.1815
O  0.5759  0.6061  0.8185
O  0.5953  0.2136  0.9663
O  0.6061  0.5759  0.3185
O  0.6865  0.8196  0.0883
O  0.6878  0.8622  0.3644
O  0.7864  0.4047  0.5337
O  0.8196  0.6865  0.5883
O  0.8600  0.1103  0.6410
O  0.8622  0.6878  0.8644
O  0.8897  0.1400  0.8590

=====

Entry 6:
Here is TiAlSe2 after structural relaxation from Alexandria. Energies are from PBEsol.

- Uncorrected formation energy: -0.42 eV per atom
- DFT total energy: -5.446 eV/atom
- Calculated density: 4088 kg/m3
- Spin magnetization: 11.0 μB per cell
- SG: I-42d (122)

a = 5.8603 Å, b = 5.8603 Å, c = 11.0112 Å
α = 90.00°, β = 90.00°, γ = 90.00°
Positions (direct):
Ti  0.0000  0.0000  0.0000
Ti  0.0000  0.5000  0.2500
Ti  0.5000  0.0000  0.7500
Ti  0.5000  0.5000  0.5000
Al  0.0000  0.0000  0.5000
Al  0.0000  0.5000  0.7500
Al  0.5000  0.0000  0.2500
Al  0.5000  0.5000  0.0000
Se  0.2311  0.2500  0.6250
Se  0.2500  0.7311  0.8750
Se  0.2500  0.7689  0.3750
Se  0.2689  0.2500  0.1250
Se  0.7311  0.7500  0.1250
Se  0.7500  0.2311  0.3750
Se  0.7500  0.2689  0.8750
Se  0.7689  0.7500  0.6250